1.
! PBE MgInRh2, relaxed; values from VASP
&SYSTEM
  ibrav = 0, nat = 4, ntyp = 3
/
ATOMIC_SPECIES
In 114.82 In.upf
Mg 24.30 Mg.upf
Rh 102.91 Rh.upf
CELL_PARAMETERS angstrom
4.536 0.000 0.000
2.268 3.928 0.000
2.268 1.309 3.704
ATOMIC_POSITIONS crystal
In 0.500 0.500 0.500
Mg 0.750 0.750 0.750
Rh 0.000 0.000 0.000
Rh 0.250 0.250 0.250
! - Calculated density: 8.7 g cm⁻³
! - E_tot: -4.962 eV per atom
! - SG: F-43m

=====

2.
! PBE Mg4InRh5, relaxed; values from VASP
&SYSTEM
  ibrav = 0, nat = 10, ntyp = 3
/
ATOMIC_SPECIES
Mg 24.30 Mg.upf
In 114.82 In.upf
Rh 102.91 Rh.upf
CELL_PARAMETERS angstrom
3.156 0.000 0.000
0.000 3.156 0.000
0.000 0.000 15.614
ATOMIC_POSITIONS crystal
Mg 0.000 0.000 0.206
Mg 0.000 0.000 0.401
Mg 0.000 0.000 0.599
Mg 0.000 0.000 0.794
In 0.000 0.000 0.000
Rh 0.500 0.500 0.104
Rh 0.500 0.500 0.303
Rh 0.500 0.500 0.500
Rh 0.500 0.500 0.697
Rh 0.500 0.500 0.896
! - Calculated density: 7.8 g cm⁻³
! - E_tot: -5.068 eV per atom
! - SG: P4/mmm

=====

3.
! PBE Mg4In5Rh2, relaxed; values from VASP
&SYSTEM
  ibrav = 0, nat = 11, ntyp = 3
/
ATOMIC_SPECIES
Mg 24.30 Mg.upf
In 114.82 In.upf
Rh 102.91 Rh.upf
CELL_PARAMETERS angstrom
3.163 0.000 0.000
0.000 7.609 -0.446
0.000 0.175 9.720
ATOMIC_POSITIONS crystal
Mg 0.500 0.811 0.559
Mg 0.500 0.193 0.857
Mg 0.500 0.189 0.441
Mg 0.500 0.807 0.143
In 0.000 0.550 0.336
In 0.000 0.158 0.153
In 0.000 0.500 0.000
In 0.000 0.842 0.847
In 0.000 0.450 0.664
Rh 0.000 0.085 0.648
Rh 0.000 0.915 0.352
! - Calculated density: 6.2 g cm⁻³
! - E_tot: -3.406 eV per atom
! - SG: P2/m

=====

4.
! PBE Mg6InRh, relaxed; values from VASP
&SYSTEM
  ibrav = 0, nat = 8, ntyp = 3
/
ATOMIC_SPECIES
Mg 24.30 Mg.upf
In 114.82 In.upf
Rh 102.91 Rh.upf
CELL_PARAMETERS angstrom
-2.880 -0.904 -5.354
-4.249 -4.624 -0.512
-6.047 1.123 1.274
ATOMIC_POSITIONS crystal
Mg 0.741 0.484 0.579
Mg 0.741 0.063 0.421
Mg 0.259 0.937 0.579
Mg 0.259 0.516 0.421
Mg 0.731 0.733 0.000
Mg 0.269 0.267 0.000
In 0.000 0.000 0.000
Rh 0.500 0.500 0.000
! - Calculated density: 3.3 g cm⁻³
! - SG: C2/m
! - Energy relative to the lowest polymorph listed for this composition: 0.187 eV per atom

=====

5.
! PBE Mg2InRh2, relaxed; values from VASP
&SYSTEM
  ibrav = 0, nat = 10, ntyp = 3
/
ATOMIC_SPECIES
Mg 24.30 Mg.upf
Rh 102.91 Rh.upf
In 114.82 In.upf
CELL_PARAMETERS angstrom
7.408 0.000 0.000
0.000 7.408 0.000
0.000 0.000 3.055
ATOMIC_POSITIONS crystal
Mg 0.372 0.872 0.000
Mg 0.872 0.628 0.000
Mg 0.628 0.128 0.000
Mg 0.128 0.372 0.000
Rh 0.171 0.671 0.500
Rh 0.671 0.829 0.500
Rh 0.829 0.329 0.500
Rh 0.329 0.171 0.500
In 0.000 0.000 0.000
In 0.500 0.500 0.000
! - Calculated density: 7.3 g cm⁻³
! - SG: P4/mbm
! - Energy relative to the lowest polymorph listed for this composition: 0.099 eV per atom

=====

6.
! PBE MgInRh4, relaxed; values from VASP
&SYSTEM
  ibrav = 0, nat = 6, ntyp = 3
/
ATOMIC_SPECIES
Mg 24.30 Mg.upf
In 114.82 In.upf
Rh 102.91 Rh.upf
CELL_PARAMETERS angstrom
-1.312 0.886 2.399
0.864 -4.562 3.880
2.889 6.619 0.858
ATOMIC_POSITIONS crystal
Mg 0.000 0.000 0.000
In 0.500 0.500 0.500
Rh 0.833 0.494 0.839
Rh 0.340 0.988 0.333
Rh 0.167 0.506 0.161
Rh 0.660 0.012 0.667
! - Calculated density: 9.8 g cm⁻³
! - SG: C2/m
! - Energy relative to the lowest polymorph listed for this composition: 0.000 eV per atom

=====

7.
! PBE Mg2InRh2, relaxed; values from VASP
&SYSTEM
  ibrav = 0, nat = 10, ntyp = 3
/
ATOMIC_SPECIES
Mg 24.30 Mg.upf
In 114.82 In.upf
Rh 102.91 Rh.upf
CELL_PARAMETERS angstrom
-0.898 3.990 -0.876
-4.681 1.500 1.645
-2.882 3.862 10.559
ATOMIC_POSITIONS crystal
Mg 0.404 0.092 0.601
Mg 0.097 0.408 0.899
Mg 0.596 0.908 0.399
Mg 0.903 0.592 0.101
In 0.250 0.750 0.250
In 0.750 0.250 0.750
Rh 0.388 0.834 0.891
Rh 0.887 0.334 0.391
Rh 0.612 0.166 0.109
Rh 0.113 0.666 0.609
! - Calculated density: 6.7 g cm⁻³
! - SG: C2/m
! - Energy relative to the lowest polymorph listed for this composition: 0.020 eV per atom

=====

8.
! PBE MgInRh2, relaxed; values from VASP
&SYSTEM
  ibrav = 0, nat = 4, ntyp = 3
/
ATOMIC_SPECIES
In 114.82 In.upf
Mg 24.30 Mg.upf
Rh 102.91 Rh.upf
CELL_PARAMETERS angstrom
-0.358 1.089 2.733
-2.942 -0.157 -0.323
0.071 -7.388 2.954
ATOMIC_POSITIONS crystal
In 0.000 0.000 0.467
Mg 0.500 0.500 0.794
Rh 0.000 0.000 0.011
Rh 0.500 0.500 0.228
! - Calculated density: 8.2 g cm⁻³
! - E_tot: -4.905 eV per atom
! - SG: P4mm

=====

9.
! PBE Mg7InRh2, relaxed; values from VASP
&SYSTEM
  ibrav = 0, nat = 10, ntyp = 3
/
ATOMIC_SPECIES
Mg 24.30 Mg.upf
In 114.82 In.upf
Rh 102.91 Rh.upf
CELL_PARAMETERS angstrom
-3.988 -2.912 -0.408
2.970 -4.763 4.961
-4.252 5.408 2.965
ATOMIC_POSITIONS crystal
Mg 0.000 0.701 0.299
Mg 0.000 0.299 0.701
Mg 0.500 0.059 0.326
Mg 0.500 0.941 0.674
Mg 0.500 0.326 0.059
Mg 0.500 0.674 0.941
Mg 0.500 0.500 0.500
In 0.000 0.000 0.000
Rh 0.500 0.702 0.298
Rh 0.500 0.298 0.702
! - Calculated density: 3.2 g cm⁻³
! - E_tot: -2.947 eV per atom
! - SG: Cmmm

=====

10.
! PBE Mg3In2Rh2, relaxed; values from VASP
&SYSTEM
  ibrav = 0, nat = 7, ntyp = 3
/
ATOMIC_SPECIES
Mg 24.30 Mg.upf
In 114.82 In.upf
Rh 102.91 Rh.upf
CELL_PARAMETERS angstrom
-3.136 1.274 3.172
-0.530 -4.011 -2.306
5.072 -1.030 5.428
ATOMIC_POSITIONS crystal
Mg 0.500 0.000 0.000
Mg 0.639 0.278 0.418
Mg 0.361 0.722 0.582
In 0.904 0.808 0.218
In 0.096 0.192 0.782
Rh 0.773 0.546 0.808
Rh 0.227 0.454 0.192
! - Calculated density: 6.5 g cm⁻³
! - E_tot: -3.964 eV per atom
! - SG: C2/m

=====

11.
! PBE MgIn2Rh3, relaxed; values from VASP
&SYSTEM
  ibrav = 0, nat = 12, ntyp = 3
/
ATOMIC_SPECIES
Mg 24.30 Mg.upf
In 114.82 In.upf
Rh 102.91 Rh.upf
CELL_PARAMETERS angstrom
4.531 0.000 0.018
2.265 6.794 0.009
-0.025 0.000 6.369
ATOMIC_POSITIONS crystal
Mg 0.332 0.337 0.000
Mg 0.668 0.663 0.000
In 0.000 0.000 0.000
In 0.000 0.000 0.500
In 0.333 0.334 0.500
In 0.667 0.666 0.500
Rh 0.833 0.334 0.752
Rh 0.500 0.000 0.249
Rh 0.167 0.666 0.248
Rh 0.833 0.334 0.248
Rh 0.167 0.666 0.752
Rh 0.500 0.000 0.751
! - Calculated density: 9.5 g cm⁻³
! - SG: Cmmm
! - Energy relative to the lowest polymorph listed for this composition: 0.000 eV per atom

=====

12.
! PBE Mg2In5Rh, relaxed; values from VASP
&SYSTEM
  ibrav = 0, nat = 16, ntyp = 3
/
ATOMIC_SPECIES
Mg 24.30 Mg.upf
In 114.82 In.upf
Rh 102.91 Rh.upf
CELL_PARAMETERS angstrom
-2.198 3.389 0.890
-1.574 -2.366 -4.489
-11.569 -9.945 9.298
ATOMIC_POSITIONS crystal
Mg 0.752 0.505 0.334
Mg 0.752 0.505 0.166
Mg 0.248 0.495 0.666
Mg 0.248 0.495 0.834
In 0.953 0.905 0.893
In 0.953 0.905 0.607
In 0.351 0.702 0.467
In 0.351 0.702 0.033
In 0.452 0.903 0.250
In 0.548 0.097 0.750
In 0.649 0.298 0.533
In 0.649 0.298 0.967
In 0.047 0.095 0.107
In 0.047 0.095 0.393
Rh 0.842 0.684 0.750
Rh 0.158 0.316 0.250
! - Calculated density: 6.7 g cm⁻³
! - E_tot: -3.208 eV per atom
! - SG: Cmcm

=====

13.
! PBE Mg6In3Rh, relaxed; values from VASP
&SYSTEM
  ibrav = 0, nat = 10, ntyp = 3
/
ATOMIC_SPECIES
Mg 24.30 Mg.upf
In 114.82 In.upf
Rh 102.91 Rh.upf
CELL_PARAMETERS angstrom
-7.636 0.468 -0.504
-2.278 -4.196 3.558
-2.051 1.489 5.389
ATOMIC_POSITIONS crystal
Mg 0.320 0.124 0.606
Mg 0.680 0.394 0.876
Mg 0.680 0.876 0.394
Mg 0.320 0.606 0.124
Mg 0.116 0.654 0.654
Mg 0.884 0.346 0.346
In 0.317 0.119 0.119
In 0.683 0.881 0.881
In 0.000 0.000 0.000
Rh 0.500 0.500 0.500
! - Calculated density: 4.4 g cm⁻³
! - SG: C2/m
! - Energy relative to the lowest polymorph listed for this composition: 0.080 eV per atom

=====

14.
! PBE Mg2InRh4, relaxed; values from VASP
&SYSTEM
  ibrav = 0, nat = 7, ntyp = 3
/
ATOMIC_SPECIES
Mg 24.30 Mg.upf
In 114.82 In.upf
Rh 102.91 Rh.upf
CELL_PARAMETERS angstrom
5.069 0.043 -1.757
-2.514 4.363 -1.850
0.025 -0.043 5.365
ATOMIC_POSITIONS crystal
Mg 0.500 0.500 0.000
Mg 0.500 0.000 0.500
In 0.000 0.000 0.000
Rh 0.500 0.000 0.000
Rh 0.500 0.500 0.500
Rh 0.000 0.000 0.500
Rh 0.000 0.500 0.000
! - Calculated density: 8.0 g cm⁻³
! - E_tot: -5.114 eV per atom
! - SG: I4/mmm

=====

15.
! PBE MgInRh2, relaxed; values from VASP
&SYSTEM
  ibrav = 0, nat = 4, ntyp = 3
/
ATOMIC_SPECIES
Mg 24.30 Mg.upf
Rh 102.91 Rh.upf
In 114.82 In.upf
CELL_PARAMETERS angstrom
-4.206 -1.564 -0.191
-2.056 -1.378 3.748
-3.373 2.411 1.727
ATOMIC_POSITIONS crystal
Mg 0.250 0.250 0.250
Rh 0.500 0.500 0.500
Rh 0.000 0.000 0.000
In 0.750 0.750 0.750
! - Calculated density: 8.9 g cm⁻³
! - E_tot: -5.309 eV per atom
! - SG: Fm-3m

=====

16.
! PBE Mg4In2Rh, relaxed; values from VASP
&SYSTEM
  ibrav = 0, nat = 7, ntyp = 3
/
ATOMIC_SPECIES
Mg 24.30 Mg.upf
Rh 102.91 Rh.upf
In 114.82 In.upf
CELL_PARAMETERS angstrom
-3.143 3.726 0.655
-3.740 -3.189 0.195
-2.585 -0.290 7.711
ATOMIC_POSITIONS crystal
Mg 0.173 0.173 0.654
Mg 0.827 0.827 0.346
Mg 0.000 0.500 0.000
Mg 0.500 0.000 0.000
Rh 0.000 0.000 0.000
In 0.371 0.371 0.258
In 0.629 0.629 0.742
! - Calculated density: 4.0 g cm⁻³
! - E_tot: -2.743 eV per atom
! - SG: I4/mmm

=====

17.
! PBE Mg8In6Rh, relaxed; values from VASP
&SYSTEM
  ibrav = 0, nat = 15, ntyp = 3
/
ATOMIC_SPECIES
Mg 24.30 Mg.upf
In 114.82 In.upf
Rh 102.91 Rh.upf
CELL_PARAMETERS angstrom
-7.123 -2.744 3.180
-2.720 -7.579 -1.881
-0.224 -5.745 5.293
ATOMIC_POSITIONS crystal
Mg 0.529 0.238 0.344
Mg 0.762 0.110 0.656
Mg 0.110 0.471 0.656
Mg 0.666 0.666 0.001
Mg 0.334 0.334 0.999
Mg 0.890 0.529 0.344
Mg 0.238 0.890 0.344
Mg 0.471 0.762 0.656
In 0.365 0.059 0.829
In 0.941 0.252 0.171
In 0.252 0.635 0.171
In 0.748 0.365 0.829
In 0.059 0.748 0.829
In 0.635 0.941 0.171
Rh 0.000 0.000 0.000
! - Calculated density: 4.5 g cm⁻³
! - E_tot: -2.451 eV per atom
! - SG: R-3

=====

18.
! PBE Mg4InRh2, relaxed; values from VASP
&SYSTEM
  ibrav = 0, nat = 7, ntyp = 3
/
ATOMIC_SPECIES
Mg 24.30 Mg.upf
In 114.82 In.upf
Rh 102.91 Rh.upf
CELL_PARAMETERS angstrom
4.126 0.000 -0.951
-0.162 3.039 -0.702
0.567 1.168 11.884
ATOMIC_POSITIONS crystal
Mg 0.128 0.128 0.255
Mg 0.872 0.872 0.745
Mg 0.236 0.736 0.473
Mg 0.764 0.264 0.527
In 0.000 0.000 0.000
Rh 0.668 0.668 0.335
Rh 0.332 0.332 0.665
! - Calculated density: 4.5 g cm⁻³
! - E_tot: -3.490 eV per atom
! - SG: Immm

=====

19.
! PBE MgInRh3, relaxed; values from VASP
&SYSTEM
  ibrav = 0, nat = 5, ntyp = 3
/
ATOMIC_SPECIES
Mg 24.30 Mg.upf
Rh 102.91 Rh.upf
In 114.82 In.upf
CELL_PARAMETERS angstrom
4.517 0.000 0.000
0.000 4.517 0.000
0.000 0.000 4.517
ATOMIC_POSITIONS crystal
Mg 0.000 0.000 0.000
Rh 0.000 0.500 0.000
Rh 0.000 0.000 0.500
Rh 0.500 0.000 0.000
In 0.500 0.500 0.500
! - Calculated density: 8.1 g cm⁻³
! - SG: Pm-3m
! - Energy relative to the lowest polymorph listed for this composition: 0.000 eV per atom

=====

20.
! PBE Mg2In3Rh, relaxed; values from VASP
&SYSTEM
  ibrav = 0, nat = 12, ntyp = 3
/
ATOMIC_SPECIES
Mg 24.30 Mg.upf
In 114.82 In.upf
Rh 102.91 Rh.upf
CELL_PARAMETERS angstrom
-1.234 5.121 2.481
-7.247 -1.951 0.422
4.622 -1.514 5.422
ATOMIC_POSITIONS crystal
Mg 0.000 0.171 0.342
Mg 0.500 0.829 0.658
Mg 0.000 0.829 0.658
Mg 0.500 0.171 0.342
In 0.750 0.261 0.745
In 0.250 0.739 0.255
In 0.750 0.516 0.255
In 0.250 0.484 0.745
In 0.750 0.740 0.000
In 0.250 0.260 0.000
Rh 0.750 0.095 0.000
Rh 0.250 0.905 0.000
! - Calculated density: 6.0 g cm⁻³
! - E_tot: -3.331 eV per atom
! - SG: Cmcm

=====

21.
! PBE MgInRh2, relaxed; values from VASP
&SYSTEM
  ibrav = 0, nat = 4, ntyp = 3
/
ATOMIC_SPECIES
In 114.82 In.upf
Mg 24.30 Mg.upf
Rh 102.91 Rh.upf
CELL_PARAMETERS angstrom
5.106 -0.011 0.000
2.122 4.645 0.000
-3.614 -2.317 2.765
ATOMIC_POSITIONS crystal
In 0.500 0.500 0.000
Mg 0.750 0.250 0.500
Rh 0.000 0.000 0.000
Rh 0.250 0.750 0.500
! - Calculated density: 8.7 g cm⁻³
! - E_tot: -5.060 eV per atom
! - SG: I-4m2

=====

22.
! PBE Mg2InRh2, relaxed; values from VASP
&SYSTEM
  ibrav = 0, nat = 5, ntyp = 3
/
ATOMIC_SPECIES
Mg 24.30 Mg.upf
Rh 102.91 Rh.upf
In 114.82 In.upf
CELL_PARAMETERS angstrom
3.868 0.000 0.000
0.000 3.868 0.000
1.934 1.934 6.155
ATOMIC_POSITIONS crystal
Mg 0.750 0.250 0.500
Mg 0.250 0.750 0.500
Rh 0.396 0.396 0.208
Rh 0.604 0.604 0.792
In 0.000 0.000 0.000
! - Calculated density: 6.7 g cm⁻³
! - SG: I4/mmm
! - Energy relative to the lowest polymorph listed for this composition: 0.321 eV per atom

=====

23.
! PBE Mg6In3Rh, relaxed; values from VASP
&SYSTEM
  ibrav = 0, nat = 20, ntyp = 3
/
ATOMIC_SPECIES
Mg 24.30 Mg.upf
In 114.82 In.upf
Rh 102.91 Rh.upf
CELL_PARAMETERS angstrom
4.609 0.000 0.000
0.000 8.640 0.000
0.000 0.000 11.247
ATOMIC_POSITIONS crystal
Mg 0.500 0.148 0.944
Mg 0.500 0.212 0.614
Mg 0.500 0.487 0.266
Mg 0.500 0.513 0.734
Mg 0.500 0.788 0.386
Mg 0.500 0.852 0.056
Mg 0.000 0.352 0.444
Mg 0.000 0.288 0.114
Mg 0.000 0.013 0.766
Mg 0.000 0.987 0.234
Mg 0.000 0.712 0.886
Mg 0.000 0.648 0.556
In 0.500 0.835 0.665
In 0.500 0.500 0.000
In 0.500 0.165 0.335
In 0.000 0.665 0.165
In 0.000 0.000 0.500
In 0.000 0.335 0.835
Rh 0.500 0.500 0.500
Rh 0.000 0.000 0.000
! - Calculated density: 4.4 g cm⁻³
! - SG: Pnnm
! - Energy relative to the lowest polymorph listed for this composition: 0.000 eV per atom

=====

24.
! PBE Mg2In2Rh3, relaxed; values from VASP
&SYSTEM
  ibrav = 0, nat = 7, ntyp = 3
/
ATOMIC_SPECIES
Mg 24.30 Mg.upf
In 114.82 In.upf
Rh 102.91 Rh.upf
CELL_PARAMETERS angstrom
4.386 -0.003 -1.232
-2.366 3.893 -0.002
-0.279 -0.169 7.518
ATOMIC_POSITIONS crystal
Mg 0.258 0.129 0.387
Mg 0.742 0.871 0.613
In 0.773 0.387 0.159
In 0.227 0.613 0.841
Rh 0.000 0.000 0.000
Rh 0.510 0.255 0.766
Rh 0.490 0.745 0.234
! - Calculated density: 7.7 g cm⁻³
! - E_tot: -4.802 eV per atom
! - SG: C2/m